Computed, not measured: a geometry-optimized CaLaNiF2 structure at the GGA+U level of DFT.

Magnetization (μB per formula unit): 0.00
Final energy (eV per atom): -3.20
N(E_F) (states/eV per cell): 4.27

abc: 4.646 4.646 4.723
angles: 90.00 90.00 90.00
Space group P4/mmm (No. 123)
Inequivalent atoms, fractional coordinates:
Ca 0.000 0.000 0.000 (multiplicity 1)
La 0.500 0.500 0.000 (multiplicity 1)
Ni 0.500 0.500 0.500 (multiplicity 1)
F 0.000 0.500 0.500 (multiplicity 2)